# CaC2ICl meta-GGA SCAN single point on PBEsol structure
data_CaC2ICl
_chemical_formula_sum 'Ca1 C2 I1 Cl1'
_cell_length_a 5.098
_cell_length_b 5.098
_cell_length_c 4.942
_cell_angle_alpha 90.00
_cell_angle_beta 90.00
_cell_angle_gamma 90.00
_symmetry_space_group_name_H-M 'P 4/m m m'
_symmetry_Int_Tables_number 123
_symmetry_space_group_name_Hall '-P 4 2'
loop_
_atom_site_label
_atom_site_fract_x
_atom_site_fract_y
_atom_site_fract_z
Ca1 0.000 0.000 0.000
C1 0.000 0.500 0.000
I1 0.500 0.500 0.500
Cl1 0.000 0.000 0.500
# Uncorrected formation energy   1.67 eV per atom
# Volume   128 Å³ per cell


# Co5Rh meta-GGA SCAN single point on PBEsol structure
data_Co5Rh
_chemical_formula_sum 'Co5 Rh1'
_cell_length_a 2.5193
_cell_length_b 2.5193
_cell_length_c 12.1064
_cell_angle_alpha 90.00
_cell_angle_beta 90.00
_cell_angle_gamma 120.00
_symmetry_space_group_name_H-M 'P -3 m 1'
_symmetry_Int_Tables_number 164
_symmetry_space_group_name_Hall '-P 3 2"'
loop_
_atom_site_label
_atom_site_fract_x
_atom_site_fract_y
_atom_site_fract_z
Co1 0.0000 0.0000 0.0000
Co2 0.3333 0.6667 0.1626
Co3 0.3333 0.6667 0.6769
Rh1 0.0000 0.0000 0.5000
# ΔE_f   1.31 kcal/mol of atoms
# Volume   67 Å³ per cell


Here are the calculated magnetization numbers, same order: 4.00, 9.93 (μB/f.u.).